Below is ZrReIr2 after structural relaxation, with properties calculated at the PBE-GGA level.

a b c (Å): 9.453 9.453 9.453
angles (deg): 17.22 17.22 17.22
Fractional coordinates of all 4 atoms:
Zr (0.000, 0.000, 0.000)
Re (0.500, 0.500, 0.500)
Ir (0.244, 0.244, 0.244)
Ir (0.756, 0.756, 0.756)

## Properties
ΔH_f (0 K)   -0.06 eV/atom
Relative energy among the computed polymorphs   7.93 kcal/mol of atoms


Below is Mg6TlPb3 after structural relaxation, with properties calculated at the PBE-GGA level.

a b c (Å): 8.820 5.377 11.468
angles (deg): 90.00 111.36 90.00
Fractional coordinates of all 20 atoms:
Mg (0.040, 0.250, 0.425)
Mg (0.172, 0.750, 0.176)
Mg (0.250, 0.250, 0.022)
Mg (0.340, 0.250, 0.324)
Mg (0.361, 0.750, 0.781)
Mg (0.435, 0.250, 0.630)
Mg (0.565, 0.750, 0.370)
Mg (0.639, 0.250, 0.219)
Mg (0.660, 0.750, 0.676)
Mg (0.750, 0.750, 0.978)
Mg (0.828, 0.250, 0.824)
Mg (0.960, 0.750, 0.575)
Tl (0.458, 0.750, 0.081)
Tl (0.542, 0.250, 0.919)
Pb (0.035, 0.750, 0.872)
Pb (0.136, 0.250, 0.721)
Pb (0.283, 0.750, 0.480)
Pb (0.717, 0.250, 0.520)
Pb (0.864, 0.750, 0.279)
Pb (0.965, 0.250, 0.128)

## Properties
ΔH_f (0 K)   -0.03 eV/atom
Relative energy among the computed polymorphs   0.00 kcal/mol of atoms